Entry from Alexandria via LeMat-Bulk: a relaxed Tm6Te3AsC2 crystal (GGA-PBE).

Unit cell a=9.1170 b=9.1170 c=8.2724 alpha=106.31 beta=106.31 gamma=24.71
With the nearest neighbours (Å) after each atom.
Sites, in units of the cell vectors:
Tm (0.0274, 0.0274, 0.2502)  1 C 2.45
Tm (0.3172, 0.3172, 0.4482)  3 C 2.49-2.60
Tm (0.3312, 0.3312, 0.8646)  2 C 2.57
Tm (0.6688, 0.6688, 0.1354)  2 C 2.57
Tm (0.6828, 0.6828, 0.5518)  3 C 2.49-2.60
Tm (0.9726, 0.9726, 0.7498)  1 C 2.45
Te (0.1596, 0.1596, 0.8324)  6 Tm 2.99-3.20
Te (0.5000, 0.5000, 0.5000)  6 Tm 2.98-3.16
Te (0.8404, 0.8404, 0.1676)  6 Tm 2.99-3.20
As (0.5000, 0.5000, 0.0000)  6 Tm 2.78-2.89
C (0.1713, 0.1713, 0.3391)  6 Tm 2.45-2.60
C (0.8287, 0.8287, 0.6609)  6 Tm 2.45-2.60

As for the density of states at the Fermi level: 3.15 states/eV/cell. The calculation puts the formation energy without anion corrections at -12.8 eV/f.u.